(1)
Entry from Alexandria: an optimized crystal structure of LaAg2Mo (PBE-GGA).

Unit cell a=3.5036 b=3.5036 c=7.1365 alpha=90.00 beta=90.00 gamma=90.00
Site moments in Bohr magnetons follow the coordinates.
Fractional positions:
Ag1 0.0000 0.0000 0.9959  0.07
La1 0.0000 0.0000 0.5123  0.05
Mo1 0.5000 0.5000 0.7905  1.55
Ag2 0.5000 0.5000 0.2013  0.02

Values from the calculation:
density of states at the Fermi level = 3.6 states/eV/cell
space group = P4mm (99)
energy above the lowest structure with this stoichiometry = 72.3 meV per atom


(2)
Entry from Alexandria: an optimized crystal structure of LiPm2AuO5 (PBE-GGA).

Unit cell a=5.9185 b=6.7370 c=6.7370 alpha=90.00 beta=90.00 gamma=90.00
Fractional positions:
O1 0.2552 0.1371 0.6371
O2 0.7448 0.6371 0.8629
O3 0.5000 0.5000 0.5000
O4 0.2552 0.6371 0.8629
O5 0.7448 0.8629 0.3629
Au1 0.0000 0.0000 0.5000
O6 0.5000 0.0000 0.0000
O7 0.7448 0.3629 0.1371
O8 0.2552 0.3629 0.1371
Pm1 0.5000 0.3227 0.8227
O9 0.2552 0.8629 0.3629
Pm2 0.5000 0.6773 0.1773
Li1 0.0000 0.0000 0.0000
Pm3 0.5000 0.1773 0.3227
Au2 0.0000 0.5000 0.0000
Li2 0.0000 0.5000 0.5000
O10 0.7448 0.1371 0.6371
Pm4 0.5000 0.8227 0.6773

Values from the calculation:
density of states at the Fermi level = 0.0 states/eV/cell
E_form (uncorrected) = -18.95 eV/f.u.
space group = P4/mbm (127)


(3)
Entry from Alexandria: an optimized crystal structure of AgAsCl2 (PBE-GGA).

Unit cell a=4.5875 b=4.5875 c=7.7623 alpha=85.19 beta=85.19 gamma=45.07
Fractional positions:
Cl1 0.9619 0.9619 0.9385
Cl2 0.1697 0.1697 0.3458
Ag1 0.5179 0.5179 0.5205
As1 0.8506 0.8506 0.6952

Values from the calculation:
E_form (uncorrected) = -1.15 eV/f.u.
space group = Cm (8)
energy above the lowest structure with this stoichiometry = 0.0 meV per atom


(4)
Entry from Alexandria: an optimized crystal structure of Mg5TlPb4 (PBE-GGA).

Unit cell a=3.6063 b=3.6063 c=20.0428 alpha=90.00 beta=90.00 gamma=90.00
Fractional positions:
Pb1 0.0000 0.0000 0.6017
Pb2 0.0000 0.0000 0.3983
Mg1 0.5000 0.5000 0.9087
Pb3 0.0000 0.0000 0.1954
Pb4 0.0000 0.0000 0.8046
Mg2 0.5000 0.5000 0.5000
Mg3 0.5000 0.5000 0.7036
Mg4 0.5000 0.5000 0.0913
Mg5 0.5000 0.5000 0.2964
Tl1 0.0000 0.0000 0.0000

Values from the calculation:
density of states at the Fermi level = 3.2 states/eV/cell
space group = P4/mmm (123)


(5)
Entry from Alexandria: an optimized crystal structure of Pr2HoMg3 (PBE-GGA).

Unit cell a=3.8551 b=3.8551 c=11.6715 alpha=90.00 beta=90.00 gamma=90.00
Fractional positions:
Mg1 0.0000 0.0000 0.3443
Ho1 0.5000 0.5000 0.5000
Pr1 0.5000 0.5000 0.8277
Pr2 0.5000 0.5000 0.1723
Mg2 0.0000 0.0000 0.6557
Mg3 0.0000 0.0000 0.0000

Values from the calculation:
density of states at the Fermi level = 6.7 states/eV/cell
space group = P4/mmm (123)


(6)
Entry from Alexandria: an optimized crystal structure of BeBSb (PBE-GGA).

Unit cell a=3.6733 b=4.7261 c=6.3818 alpha=108.65 beta=102.76 gamma=99.06
Fractional positions:
B1 0.4137 0.6586 0.0021
Be1 0.9170 0.7064 0.9913
Sb1 0.3432 0.8493 0.6953
Be2 0.0830 0.2936 0.0087
Sb2 0.6568 0.1507 0.3047
B2 0.5863 0.3414 0.9979

Values from the calculation:
density of states at the Fermi level = 1.5 states/eV/cell
E_form (uncorrected) = 0.95 eV/f.u.
space group = P-1 (2)
energy above the lowest structure with this stoichiometry = 226.0 meV per atom


(7)
Entry from Alexandria: an optimized crystal structure of LiTlAg2F8 (PBE-GGA).

Unit cell a=5.4164 b=5.4164 c=6.6544 alpha=114.02 beta=114.02 gamma=90.00
Site moments in Bohr magnetons follow the coordinates.
Fractional positions:
Ag1 0.2500 0.7500 0.5000  0.57
F1 0.3516 0.3153 0.2269  0.09
Ag2 0.5000 0.5000 0.0000  0.58
F2 0.8754 0.9116 0.2269  0.09
F3 0.8642 0.4264 0.2796  0.13
F4 0.6847 0.1246 0.7731  0.09
F5 0.5736 0.5846 0.7204  0.13
Tl1 0.7500 0.2500 0.5000  -0.01
Li1 0.0000 0.0000 0.0000  0.00
F6 0.1468 0.1358 0.7204  0.13
F7 0.0884 0.6484 0.7731  0.09
F8 0.4154 0.8532 0.2796  0.13

Values from the calculation:
density of states at the Fermi level = 7.6 states/eV/cell
E_form (uncorrected) = -18.75 eV/f.u.
space group = I-4 (82)


(8)
Entry from Alexandria: an optimized crystal structure of Ca2MgCr (PBE-GGA).

Unit cell a=5.3949 b=5.3949 c=5.3949 alpha=60.00 beta=60.00 gamma=60.00
Site moments in Bohr magnetons follow the coordinates.
Fractional positions:
Ca1 0.2500 0.2500 0.2500  0.06
Cr1 0.5000 0.5000 0.5000  3.92
Mg1 0.7500 0.7500 0.7500  -0.01
Ca2 0.0000 0.0000 0.0000  0.02

Values from the calculation:
density of states at the Fermi level = 4.9 states/eV/cell
space group = F-43m (216)


(9)
Entry from Alexandria: an optimized crystal structure of Tb6SmSc2 (PBE-GGA).

Unit cell a=11.9565 b=7.2125 c=7.2125 alpha=85.91 beta=71.03 gamma=71.03
Fractional positions:
Sm1 0.7500 0.9549 0.0451
Tb1 0.6481 0.2322 0.6391
Sc1 0.3608 0.6077 0.7783
Tb2 0.1481 0.6391 0.2322
Sm2 0.2500 0.0451 0.9549
Tb3 0.1044 0.4881 0.7676
Tb4 0.3956 0.2324 0.5119
Tb5 0.6044 0.7676 0.4881
Sc2 0.1392 0.2217 0.3923
Tb6 0.5674 0.7394 0.9471
Tb7 0.0674 0.9471 0.7394
Tb8 0.3519 0.7678 0.3609
Tb9 0.8519 0.3609 0.7678
Tb10 0.8956 0.5119 0.2324
Tb11 0.9326 0.0529 0.2606
Sc3 0.6392 0.3923 0.2217
Tb12 0.4326 0.2606 0.0529
Sc4 0.8608 0.7783 0.6077

Values from the calculation:
density of states at the Fermi level = 27.0 states/eV/cell
space group = C2/c (15)
energy above the lowest structure with this stoichiometry = 64.0 meV per atom


(10)
Entry from Alexandria: an optimized crystal structure of EuNbRh2 (PBE-GGA).

Unit cell a=3.2272 b=3.2272 c=7.4022 alpha=90.00 beta=90.00 gamma=90.00
Site moments in Bohr magnetons follow the coordinates.
Fractional positions:
Eu1 0.5000 0.5000 0.5000  6.82
Nb1 0.5000 0.5000 0.0000  0.03
Rh1 0.0000 0.0000 0.8027  -0.06
Rh2 0.0000 0.0000 0.1973  -0.06

Values from the calculation:
density of states at the Fermi level = 8.6 states/eV/cell
space group = P4/mmm (123)


(11)
Entry from Alexandria: an optimized crystal structure of ZrZnPd3 (PBE-GGA).

Unit cell a=4.5806 b=4.5806 c=4.5806 alpha=90.00 beta=90.00 gamma=90.00
Fractional positions:
Pd1 0.0000 0.5000 0.0000
Zr1 0.5000 0.5000 0.5000
Zn1 0.0000 0.0000 0.0000
Pd2 0.5000 0.0000 0.0000
Pd3 0.0000 0.0000 0.5000

Values from the calculation:
density of states at the Fermi level = 6.2 states/eV/cell
space group = Pm-3m (221)
energy above the lowest structure with this stoichiometry = 713.6 meV per atom


(12)
Entry from Alexandria: an optimized crystal structure of ZnAuBr4 (PBE-GGA).

Unit cell a=6.1068 b=5.8864 c=11.2757 alpha=104.31 beta=104.92 gamma=92.93
Fractional positions:
Br1 0.0078 0.8094 0.1040
Br2 0.3370 0.0676 0.6401
Br3 0.6630 0.9324 0.3599
Zn1 0.8796 0.1296 0.2593
Au1 0.6637 0.4137 0.8273
Zn2 0.1204 0.8704 0.7407
Br4 0.9922 0.1906 0.8960
Br5 0.5962 0.2946 0.1040
Br6 0.4038 0.7054 0.8960
Br7 0.8031 0.5725 0.6401
Br8 0.1969 0.4275 0.3599
Au2 0.3363 0.5863 0.1727

Values from the calculation:
density of states at the Fermi level = 8.5 states/eV/cell
E_form (uncorrected) = -2.15 eV/f.u.
space group = C2/c (15)
energy above the lowest structure with this stoichiometry = 15.1 meV per atom


Calculated values (μB/atom) of total magnetic moment for the records, taken in order: 0.49 0.00 0.00 0.00 0.00 0.00 0.17 1.27 0.00 1.74 0.00 0.00.
Calculated values (eV per atom) of uncorrected energy for the records, taken in order: -4.928 -6.493 -3.087 -2.572 -3.252 -4.527 -3.642 -3.449 -4.824 -9.133 -4.925 -2.232.